1.
5
Lattice="4.2733 0.0000 0.0000 0.0000 4.2733 0.0000 0.0000 0.0000 4.8773" Properties=species:S:1:pos:R:3 comment="RbSrTiN2 GGA-PBE relaxed" m_tot_mub_per_cell=0.00 raw_formation_energy_ev_per_atom=0.706 dos_ef_per_ev_cell=3.4 pbc="T T T"
Rb 0.0000 0.0000 0.0000
Sr 2.1366 2.1366 0.0000
Ti 0.0000 0.0000 2.4387
N 0.0000 2.1366 2.4387
N 2.1366 0.0000 2.4387

***

2.
9
Lattice="6.9140 0.0000 0.0000 -2.5475 6.4472 0.0000 -0.6988 -1.0007 7.9918" Properties=species:S:1:pos:R:3 comment="CsHoCuBr6 GGA-PBE relaxed" m_tot_mub_per_cell=1.04 raw_formation_energy_ev_per_atom=-1.324 dos_ef_per_ev_cell=0.3 pbc="T T T"
Cs 0.0000 0.0000 0.0000
Ho 0.5884 3.5868 4.0023
Cu 3.9285 1.3416 3.9652
Br -0.8585 1.4335 5.1873
Br -1.2343 3.5157 2.0022
Br -0.0244 5.2735 6.0230
Br 2.1712 1.8563 2.3518
Br 2.7995 2.7490 5.6152
Br 2.0207 5.7313 2.7830

***

3.
3
Lattice="-1.6468 1.6468 5.4848 1.6468 -1.6468 5.4848 1.6468 1.6468 -5.4848" Properties=species:S:1:pos:R:3 comment="ThZnCu GGA-PBE relaxed" m_tot_mub_per_cell=0.00 e_form_ev_per_atom=-0.082 dos_ef_per_ev_cell=2.5 pbc="T T T"
Th 0.0000 0.0000 0.0000
Zn 0.0000 0.0000 7.7042
Cu 0.0000 0.0000 3.4150